1) A plane-wave DFT calculation with PBE was carried out for an optimized crystal structure of Cs2Hg13.

Cell: 9.299 9.299 9.299 Å, 61.20 61.20 61.20°
Fractional positions:
Cs1 0.220 0.220 0.220
Cs2 0.780 0.780 0.780
Hg1 0.158 0.506 0.506
Hg2 0.160 0.821 0.821
Hg3 0.179 0.179 0.840
Hg4 0.179 0.840 0.179
Hg5 0.494 0.494 0.842
Hg6 0.494 0.842 0.494
Hg7 0.500 0.500 0.500
Hg8 0.506 0.158 0.506
Hg9 0.506 0.506 0.158
Hg10 0.821 0.160 0.821
Hg11 0.821 0.821 0.160
Hg12 0.840 0.179 0.179
Hg13 0.842 0.494 0.494

Calculated values
volume	38.93	A^3/atom
total moment	0.000	μB/f.u.
D(E_F)	4.77	states/eV/cell

=====

2) A plane-wave DFT calculation with PBE was carried out for an optimized crystal structure of Cs2Hg13.

Cell: 9.678 9.678 9.678 Å, 53.12 53.12 53.12°
Fractional positions:
Cs1 0.162 0.162 0.162
Cs2 0.838 0.838 0.838
Hg1 0.000 0.000 0.000
Hg2 0.165 0.165 0.546
Hg3 0.165 0.546 0.165
Hg4 0.301 0.301 0.664
Hg5 0.301 0.664 0.301
Hg6 0.336 0.699 0.699
Hg7 0.454 0.835 0.835
Hg8 0.546 0.165 0.165
Hg9 0.664 0.301 0.301
Hg10 0.699 0.336 0.699
Hg11 0.699 0.699 0.336
Hg12 0.835 0.454 0.835
Hg13 0.835 0.835 0.454

Calculated values
volume	35.84	A^3/atom
total moment	0.000	μB/f.u.
D(E_F)	6.35	states/eV/cell

=====

Verdict on stability: 2) comes out on top.

=====

1) A plane-wave DFT calculation with PBE was carried out for an optimized crystal structure of Cs4Hg.

Cell: 9.285 10.828 9.431 Å, 90.00 109.07 90.00°
Fractional positions:
Cs1 0.245 0.123 0.001
Cs2 0.245 0.877 0.501
Cs3 0.252 0.378 0.493
Cs4 0.252 0.622 0.993
Cs5 0.748 0.378 0.007
Cs6 0.748 0.622 0.507
Cs7 0.755 0.123 0.499
Cs8 0.755 0.877 0.999
Hg1 0.500 0.129 0.750
Hg2 0.500 0.871 0.250

Calculated values
volume	89.62	A^3/atom
total moment	0.000	μB/f.u.
D(E_F)	12.77	states/eV/cell

=====

2) A plane-wave DFT calculation with PBE was carried out for an optimized crystal structure of Cs4Hg.

Cell: 7.700 7.700 7.700 Å, 90.00 90.00 90.00°
Fractional positions:
Cs1 0.000 0.000 0.000
Cs2 0.000 0.500 0.500
Cs3 0.500 0.000 0.500
Cs4 0.500 0.500 0.000
Hg1 0.500 0.500 0.500

Calculated values
volume	91.30	A^3/atom
total moment	0.000	μB/f.u.
D(E_F)	4.23	states/eV/cell

=====

Verdict on stability: 2) comes out on top.

=====

1) A plane-wave DFT calculation with PBE was carried out for an optimized crystal structure of CsHg4.

Cell: 6.848 6.848 6.848 Å, 130.81 130.81 72.12°
Fractional positions:
Cs1 0.000 0.000 0.000
Hg1 0.250 0.750 0.500
Hg2 0.363 0.363 0.000
Hg3 0.637 0.637 0.000
Hg4 0.750 0.250 0.500

Calculated values
volume	35.98	A^3/atom
total moment	0.000	μB/f.u.
D(E_F)	2.87	states/eV/cell

=====

2) A plane-wave DFT calculation with PBE was carried out for an optimized crystal structure of CsHg4.

Cell: 7.721 7.721 7.721 Å, 90.00 90.00 90.00°
Fractional positions:
Cs1 0.000 0.000 0.000
Hg1 0.000 0.000 0.500
Hg2 0.000 0.500 0.000
Hg3 0.500 0.000 0.000
Hg4 0.500 0.500 0.500

Calculated values
volume	92.05	A^3/atom
total moment	0.000	μB/f.u.
D(E_F)	4.40	states/eV/cell

=====

Verdict on stability: 1) comes out on top.